Entry 1:
Y6AgGe2S14 GGA-PBE optimized geometry; formation energy without anion corrections = -137 kJ per mole of atoms; DFT total energy = -141.22 eV/cell
1.0
9.902 0.000 0.000
-4.951 8.576 0.000
0.000 0.000 5.783
Y Ag Ge S
6 1 2 14
direct
0.023 0.466 0.000
0.310 0.202 0.499
0.443 0.977 0.000
0.534 0.557 0.000
0.798 0.108 0.499
0.892 0.690 0.499
0.667 0.333 0.282
0.000 0.000 0.923
0.333 0.667 0.417
0.000 0.000 0.303
0.086 0.235 0.759
0.148 0.914 0.759
0.186 0.754 0.254
0.246 0.432 0.254
0.333 0.667 0.797
0.406 0.233 0.038
0.503 0.073 0.530
0.568 0.814 0.254
0.569 0.497 0.530
0.765 0.852 0.759
0.767 0.173 0.038
0.827 0.594 0.038
0.927 0.431 0.530


Entry 2:
Zn2AgGeS4 GGA-PBE optimized geometry; formation energy without anion corrections = -40 kJ per mole of atoms; DFT total energy = -29.85 eV/cell
1.0
0.000 3.970 5.616
3.970 0.000 5.616
3.970 3.970 0.000
Zn Ag Ge S
2 1 1 4
direct
0.000 0.000 0.500
0.500 0.500 0.000
0.250 0.250 0.750
0.750 0.750 0.250
0.126 0.641 0.874
0.375 0.859 0.141
0.641 0.126 0.359
0.859 0.375 0.625


Entry 3:
ZnAg2GeS4 GGA-PBE optimized geometry; formation energy without anion corrections = -35 kJ per mole of atoms; DFT total energy = -62.07 eV/cell
1.0
7.560 0.000 0.000
0.000 7.119 0.000
0.000 0.000 6.561
Zn Ag Ge S
2 4 2 8
direct
0.000 0.143 0.000
0.500 0.857 0.500
0.244 0.333 0.520
0.256 0.667 0.020
0.744 0.667 0.020
0.756 0.333 0.520
0.000 0.840 0.505
0.500 0.160 0.005
0.000 0.126 0.363
0.000 0.847 0.848
0.244 0.677 0.406
0.256 0.323 0.906
0.500 0.153 0.348
0.500 0.874 0.863
0.744 0.323 0.906
0.756 0.677 0.406


Entry 4:
Ag2Ge2Sb GGA-PBE optimized geometry; formation energy without anion corrections = 23 kJ per mole of atoms; offset from the most stable computed form = 0.0 meV/atom; DFT total energy = -35.78 eV/cell
1.0
8.238 0.000 0.000
0.000 8.238 0.000
0.000 0.000 3.069
Ag Ge Sb
4 4 2
direct
0.121 0.379 0.000
0.379 0.879 0.000
0.621 0.121 0.000
0.879 0.621 0.000
0.177 0.677 0.500
0.323 0.177 0.500
0.677 0.823 0.500
0.823 0.323 0.500
0.000 0.000 0.500
0.500 0.500 0.500


Entry 5:
Ag2Ge2Sb GGA-PBE optimized geometry; formation energy without anion corrections = 23 kJ per mole of atoms; offset from the most stable computed form = 8.0 meV/atom; DFT total energy = -17.85 eV/cell
1.0
-1.997 1.997 6.634
1.997 -1.997 6.634
1.997 1.997 -6.634
Ag Ge Sb
2 2 1
direct
0.103 0.103 0.000
0.897 0.897 0.000
0.250 0.750 0.500
0.750 0.250 0.500
0.500 0.500 0.000


Entry 6:
Ag4GeSb GGA-PBE optimized geometry; formation energy without anion corrections = 18 kJ per mole of atoms; DFT total energy = -19.00 eV/cell
1.0
0.000 3.948 3.948
3.948 0.000 3.948
3.948 3.948 0.000
Ag Ge Sb
4 1 1
direct
0.125 0.125 0.125
0.125 0.125 0.624
0.125 0.624 0.125
0.624 0.125 0.125
0.500 0.500 0.500
0.750 0.750 0.750


Question: Look up the formation energy without anion corrections of the fifth one.
Answer: 23 kJ per mole of atoms


Question: Number 1 is which compound?
Answer: Y6AgGe2S14